A relaxed structure of BePd6. Source: OQMD via LeMat-Bulk, functional GGA-PBE.

Results
Its density is 10.5 g/cm³. As for the uncorrected energy: -5.0542 eV/atom.

The structure in CIF format:
```
data_BePd6
_chemical_formula_sum 'Be1 Pd6'
_space_group_name_H-M_alt 'P -3 1 m'
_space_group_IT_number 162
_space_group_name_Hall '-P 3 2'
_cell_length_a 4.9698
_cell_length_b 4.9698
_cell_length_c 4.8002
_cell_angle_alpha 90.00
_cell_angle_beta 90.00
_cell_angle_gamma 120.00
loop_
_atom_site_label
_atom_site_type_symbol
_atom_site_fract_x
_atom_site_fract_y
_atom_site_fract_z
Be1 Be 0.0000 0.0000 0.0000
Pd1 Pd 0.0000 0.3520 0.7413
```